Computed, not measured: crystalline BaAg3Ge at its relaxed geometry at the GGA-PBE level of DFT.

Calculated values
Uncorrected energy, eV per cell: -8.98
Volume, A^3/atom: 41.20
Energy above the most stable polymorph in this dataset, meV per atom: 1450.9

```
data_BaAg3Ge
_chemical_formula_sum 'Ba1 Ag3 Ge1'
_symmetry_space_group_name_H-M 'P m -3 m'
_symmetry_Int_Tables_number 221
_symmetry_space_group_name_Hall '-P 4 2 3'
_cell_length_a 5.906
_cell_length_b 5.906
_cell_length_c 5.906
_cell_angle_alpha 90.00
_cell_angle_beta 90.00
_cell_angle_gamma 90.00
loop_
_atom_site_label
_atom_site_fract_x
_atom_site_fract_y
_atom_site_fract_z
Ba1 0.000 0.000 0.000
Ag1 0.000 0.000 0.500
Ge1 0.500 0.500 0.500
```